SrAsPd2Au | PBE | optimized geometry

Results
ΔH_f (0 K), eV per atom: -0.479
Space-group type: P4/mmm (123)

Geometry as extended XYZ:
```
5
Lattice="4.834 0.000 0.000 0.000 4.834 0.000 0.000 0.000 4.956" Properties=species:S:1:pos:R:3 pbc="T T T"
Sr 0.000 0.000 0.000
As 2.417 2.417 2.478
Pd 0.000 2.417 2.478
Pd 2.417 0.000 2.478
Au 2.417 2.417 0.000
```


MgCo2HRu | PBE | optimized geometry

Results
Space-group type: P4/mmm (123)

Geometry as extended XYZ:
```
5
Lattice="3.798 0.000 0.000 0.000 3.798 0.000 0.000 0.000 3.808" Properties=species:S:1:pos:R:3 pbc="T T T"
Mg 0.000 0.000 0.000
Co 0.000 1.899 1.904
Co 1.899 0.000 1.904
H 1.899 1.899 1.904
Ru 1.899 1.899 0.000
```


NiHgSe2 | PBE | optimized geometry

Results
Raw formation energy, eV/atom: -0.06
Space-group type: Immm (71)

Geometry as extended XYZ:
```
4
Lattice="-1.739 2.308 5.712 1.739 -2.308 5.712 1.739 2.308 -5.712" Properties=species:S:1:pos:R:3 pbc="T T T"
Ni 0.000 0.000 0.000
Hg 0.000 0.000 5.712
Se 1.739 0.000 1.637
Se 0.000 2.308 4.075
```


TbNd5Bi6 | PBE | optimized geometry

Results
ΔH_f (0 K), eV per atom: -0.936
Space-group type: C2/m (12)

Geometry as extended XYZ:
```
12
Lattice="3.976 -6.888 0.000 3.976 6.888 0.000 -2.655 0.000 7.496" Properties=species:S:1:pos:R:3 pbc="T T T"
Tb 0.000 0.000 0.000
Nd 2.648 4.570 3.748
Nd 3.976 2.289 0.000
Nd 2.648 0.000 3.748
Nd 3.976 -2.289 0.000
Nd 2.648 -4.570 3.748
Bi 1.307 2.269 1.851
Bi -0.039 0.000 5.634
Bi 1.307 -2.269 1.851
Bi 3.989 2.269 5.645
Bi 5.335 0.000 1.863
Bi 3.989 -2.269 5.645
```


TmTh2Cd | PBE | optimized geometry

Results
ΔH_f (0 K), eV per atom: 0.087
Energy above the lowest structure with this stoichiometry, meV/atom: 80.6
Space-group type: Fm-3m (225)

Geometry as extended XYZ:
```
4
Lattice="0.000 3.892 3.892 3.892 0.000 3.892 3.892 3.892 0.000" Properties=species:S:1:pos:R:3 pbc="T T T"
Tm 0.000 0.000 0.000
Th 1.946 1.946 1.946
Th 5.839 5.839 5.839
Cd 3.892 3.892 3.892
```


RbSnSb3 | PBE | optimized geometry

Results
Energy above the lowest structure with this stoichiometry, meV/atom: 0.0
Raw formation energy, eV/atom: -0.11
Space-group type: Pmn2_1 (31)

Geometry as extended XYZ:
```
10
Lattice="7.817 0.000 0.000 0.000 9.336 0.000 0.000 0.000 5.333" Properties=species:S:1:pos:R:3 pbc="T T T"
Rb 0.000 0.721 0.000
Rb 3.909 8.615 2.667
Sn 0.000 4.696 1.302
Sn 3.909 4.640 3.968
Sb 0.000 6.978 3.177
Sb 1.940 2.841 2.563
Sb 1.968 6.495 5.229
Sb 3.909 2.358 0.511
Sb 5.849 6.495 5.229
Sb 5.877 2.841 2.563
```


TbCd2Ga | PBE | optimized geometry

Results
ΔH_f (0 K), eV per atom: -0.346
Energy above the lowest structure with this stoichiometry, meV/atom: 0.0
Space-group type: P4/mmm (123)

Geometry as extended XYZ:
```
4
Lattice="4.342 0.000 0.000 0.000 4.342 0.000 0.000 0.000 4.828" Properties=species:S:1:pos:R:3 pbc="T T T"
Tb 0.000 0.000 0.000
Cd 0.000 2.171 2.414
Cd 2.171 0.000 2.414
Ga 2.171 2.171 0.000
```


PaNb2Te2 | PBE | optimized geometry

Results
Raw formation energy, eV/atom: 0.17
Space-group type: I4_1md (109)

Geometry as extended XYZ:
```
10
Lattice="-3.405 3.405 5.489 3.405 -3.405 5.489 3.405 3.405 -5.489" Properties=species:S:1:pos:R:3 pbc="T T T"
Pa 0.000 0.000 0.000
Pa 0.000 3.405 2.745
Nb 3.405 1.272 0.169
Nb 2.133 3.405 -2.576
Nb 1.272 0.000 2.914
Nb 0.000 2.133 5.658
Te 1.595 3.405 0.140
Te 1.810 0.000 5.629
Te 3.405 1.810 2.884
Te 0.000 1.595 8.374
```


Al2InTc | PBE | optimized geometry

Results
ΔH_f (0 K), eV per atom: 0.128
Space-group type: P4mm (99)

Geometry as extended XYZ:
```
4
Lattice="2.913 0.000 0.000 0.000 2.913 0.000 0.000 0.000 8.334" Properties=species:S:1:pos:R:3 pbc="T T T"
Al 0.000 0.000 0.000
Al 1.456 1.456 2.063
In 0.000 0.000 4.591
Tc 1.456 1.456 6.670
```


Ac2ErPb | PBE | optimized geometry

Results
ΔH_f (0 K), eV per atom: -0.210
Energy above the lowest structure with this stoichiometry, meV/atom: 26.1
Space-group type: P4/mmm (123)

Geometry as extended XYZ:
```
4
Lattice="5.236 0.000 0.000 0.000 5.236 0.000 0.000 0.000 5.151" Properties=species:S:1:pos:R:3 pbc="T T T"
Ac 0.000 2.618 0.000
Ac 2.618 0.000 0.000
Er 0.000 0.000 2.575
Pb 2.618 2.618 2.575
```


Y2AuSe2 | PBE | optimized geometry

Results
Energy above the lowest structure with this stoichiometry, meV/atom: 0.0
Raw formation energy, eV/atom: -1.34
Space-group type: P4/mbm (127)

Geometry as extended XYZ:
```
10
Lattice="7.941 0.000 0.000 0.000 7.941 0.000 0.000 0.000 3.768" Properties=species:S:1:pos:R:3 pbc="T T T"
Y 1.244 2.726 0.000
Y 2.726 6.696 0.000
Y 5.215 1.244 0.000
Y 6.696 5.215 0.000
Au 0.000 0.000 0.000
Au 3.970 3.970 0.000
Se 1.140 5.111 1.884
Se 2.830 1.140 1.884
Se 5.111 6.801 1.884
Se 6.801 2.830 1.884
```


Ti5In2MoIr2 | PBE | optimized geometry

Results
ΔH_f (0 K), eV per atom: -0.300
Space-group type: P4/mbm (127)

Geometry as extended XYZ:
```
20
Lattice="10.649 0.000 0.000 0.000 10.649 0.000 0.000 0.000 3.178" Properties=species:S:1:pos:R:3 pbc="T T T"
Ti 0.000 5.325 0.000
Ti 0.683 2.026 0.000
Ti 2.026 9.966 0.000
Ti 3.299 4.641 0.000
Ti 4.641 7.351 0.000
Ti 5.325 0.000 0.000
Ti 6.008 3.299 0.000
Ti 7.351 6.008 0.000
Ti 8.624 0.683 0.000
Ti 9.966 8.624 0.000
In 1.845 7.170 1.589
In 3.480 1.845 1.589
In 7.170 8.804 1.589
In 8.804 3.480 1.589
Mo 0.000 0.000 1.589
Mo 5.325 5.325 1.589
Ir 1.408 3.917 1.589
Ir 3.917 9.242 1.589
Ir 6.732 1.408 1.589
Ir 9.242 6.732 1.589
```


Nd6Cd2C | PBE | optimized geometry

Results
ΔH_f (0 K), eV per atom: -0.160
Space-group type: P2_1/c (14)

Geometry as extended XYZ:
```
18
Lattice="7.261 0.000 0.000 0.000 7.231 0.000 -7.217 0.000 10.139" Properties=species:S:1:pos:R:3 pbc="T T T"
Nd -0.500 7.231 2.604
Nd -4.108 3.616 7.674
Nd -1.750 1.763 5.423
Nd 1.859 1.853 0.354
Nd 1.870 5.389 0.353
Nd -1.739 5.458 5.423
Nd 1.783 1.774 4.716
Nd -1.826 1.842 9.786
Nd -1.815 5.379 9.785
Nd 1.794 5.468 4.716
Nd 0.544 0.000 7.535
Nd 4.152 3.615 2.465
Cd 0.048 3.621 2.562
Cd -3.561 7.226 7.632
Cd 3.605 0.005 2.507
Cd -0.004 3.610 7.577
C 0.022 0.000 5.070
C 3.631 3.616 0.000
```


Pa3BiB | PBE | optimized geometry

Results
ΔH_f (0 K), eV per atom: -0.102
Space-group type: Pm-3m (221)

Geometry as extended XYZ:
```
5
Lattice="4.912 0.000 0.000 0.000 4.912 0.000 0.000 0.000 4.912" Properties=species:S:1:pos:R:3 pbc="T T T"
Pa 0.000 0.000 2.456
Pa 0.000 2.456 0.000
Pa 2.456 0.000 0.000
Bi 2.456 2.456 2.456
B 0.000 0.000 0.000
```


Zn2SeO | PBE | optimized geometry

Results
Energy above the lowest structure with this stoichiometry, meV/atom: 0.0
Raw formation energy, eV/atom: -0.98
Space-group type: I-42d (122)

Geometry as extended XYZ:
```
8
Lattice="-2.589 2.589 5.123 2.589 -2.589 5.123 2.589 2.589 -5.123" Properties=species:S:1:pos:R:3 pbc="T T T"
Zn 3.884 0.926 -1.281
Zn 0.926 1.295 1.281
Zn -1.295 1.664 3.842
Zn 1.664 1.295 6.404
Se 2.589 0.000 2.562
Se 0.000 0.000 5.123
O 0.000 0.000 0.000
O 0.000 2.589 2.562
```


NdYTe2 | PBE | optimized geometry

Results
Energy above the lowest structure with this stoichiometry, meV/atom: 144.1
Raw formation energy, eV/atom: -1.25
Space-group type: P4/mmm (123)

Geometry as extended XYZ:
```
4
Lattice="5.430 0.000 0.000 0.000 5.430 0.000 0.000 0.000 3.836" Properties=species:S:1:pos:R:3 pbc="T T T"
Nd 0.000 0.000 0.000
Y 2.715 2.715 0.000
Te 0.000 2.715 1.918
Te 2.715 0.000 1.918
```


LiLaZnCu2 | PBE | optimized geometry

Results
ΔH_f (0 K), eV per atom: -0.181
Space-group type: I-4m2 (119)

Geometry as extended XYZ:
```
5
Lattice="-1.978 1.978 5.969 1.978 -1.978 5.969 1.978 1.978 -5.969" Properties=species:S:1:pos:R:3 pbc="T T T"
Li 0.000 0.000 0.000
La 1.978 0.000 2.984
Zn 0.000 0.000 5.969
Cu 0.000 1.978 1.706
Cu 0.000 1.978 4.263
```


NiSnPCl2 | PBE | optimized geometry

Results
Energy above the lowest structure with this stoichiometry, meV/atom: 672.9
Raw formation energy, eV/atom: 0.62
Space-group type: P4/mmm (123)

Geometry as extended XYZ:
```
5
Lattice="5.127 0.000 0.000 0.000 5.127 0.000 0.000 0.000 5.315" Properties=species:S:1:pos:R:3 pbc="T T T"
Ni 0.000 0.000 0.000
Sn 2.563 2.563 2.657
P 2.563 2.563 0.000
Cl 0.000 2.563 2.657
Cl 2.563 0.000 2.657
```


ZrScRePt | PBE | optimized geometry

Results
ΔH_f (0 K), eV per atom: -0.641
Space-group type: F-43m (216)

Geometry as extended XYZ:
```
4
Lattice="0.000 3.291 3.291 3.291 0.000 3.291 3.291 3.291 0.000" Properties=species:S:1:pos:R:3 pbc="T T T"
Zr 0.000 0.000 0.000
Sc 3.291 3.291 3.291
Re 1.645 1.645 1.645
Pt 4.936 4.936 4.936
```


Li4LaTa | PBE | optimized geometry

Results
ΔH_f (0 K), eV per atom: 0.463
Space-group type: F-43m (216)

Geometry as extended XYZ:
```
6
Lattice="0.000 3.905 3.905 3.905 0.000 3.905 3.905 3.905 0.000" Properties=species:S:1:pos:R:3 pbc="T T T"
Li 0.949 0.949 0.949
Li 2.955 2.955 0.949
Li 2.955 0.949 2.955
Li 0.949 2.955 2.955
La 3.905 3.905 3.905
Ta 5.857 5.857 5.857
```


| no. | electronic total energy (eV for the cell shown) |
| --- | --- |
| 1 | -22.4 |
| 2 | -27.8 |
| 3 | -13.3 |
| 4 | -63.0 |
| 5 | -19.9 |
| 6 | -35.8 |
| 7 | -10.9 |
| 8 | -70.1 |
| 9 | -20.1 |
| 10 | -17.3 |
| 11 | -59.7 |
| 12 | -153.0 |
| 13 | -82.2 |
| 14 | -39.6 |
| 15 | -29.8 |
| 16 | -22.5 |
| 17 | -17.2 |
| 18 | -15.8 |
| 19 | -35.9 |
| 20 | -21.7 |